# Sr3MnRu (PBE-GGA, relaxed)
data_Sr3MnRu
_chemical_formula_sum 'Sr3 Mn1 Ru1'
_symmetry_space_group_name_H-M 'P m -3 m'
_symmetry_Int_Tables_number 221
_symmetry_space_group_name_Hall '-P 4 2 3'
_cell_length_a 5.637
_cell_length_b 5.637
_cell_length_c 5.637
_cell_angle_alpha 90.00
_cell_angle_beta 90.00
_cell_angle_gamma 90.00
loop_
_atom_site_label
_atom_site_fract_x
_atom_site_fract_y
_atom_site_fract_z
Sr1 0.000 0.000 0.500
Mn1 0.500 0.500 0.500
Ru1 0.000 0.000 0.000
# Spin magnetization: 0.9 μB per cell
# Density of states at the Fermi level: 4.346 states/eV per atom
# Energy relative to the lowest polymorph listed for this composition: 0.0000 eV per atom
# Formation enthalpy at 0 K: 1.135 eV/atom

# Sr2MnRu (PBE-GGA, relaxed)
data_Sr2MnRu
_chemical_formula_sum 'Sr2 Mn1 Ru1'
_symmetry_space_group_name_H-M 'P 4/m m m'
_symmetry_Int_Tables_number 123
_symmetry_space_group_name_Hall '-P 4 2'
_cell_length_a 4.930
_cell_length_b 4.930
_cell_length_c 4.252
_cell_angle_alpha 90.00
_cell_angle_beta 90.00
_cell_angle_gamma 90.00
loop_
_atom_site_label
_atom_site_fract_x
_atom_site_fract_y
_atom_site_fract_z
Sr1 0.000 0.500 0.000
Mn1 0.000 0.000 0.500
Ru1 0.500 0.500 0.500
# Spin magnetization: 4.7 μB per cell
# Density of states at the Fermi level: 0.842 states/eV per atom
# Formation enthalpy at 0 K: 0.722 eV/atom

# SrMnRu2 (PBE-GGA, relaxed)
data_SrMnRu2
_chemical_formula_sum 'Sr1 Mn1 Ru2'
_symmetry_space_group_name_H-M 'P m m m'
_symmetry_Int_Tables_number 47
_cell_length_a 3.114
_cell_length_b 4.677
_cell_length_c 4.858
_cell_angle_alpha 90.00
_cell_angle_beta 90.00
_cell_angle_gamma 90.00
loop_
_symmetry_equiv_pos_as_xyz
'x,y,z'
'-x,-y,-z'
'-x,-y,z'
'x,y,-z'
'x,-y,-z'
'-x,y,z'
'-x,y,-z'
'x,-y,z'
loop_
_atom_site_label
_atom_site_fract_x
_atom_site_fract_y
_atom_site_fract_z
Sr1 0.000 0.000 0.000
Mn1 0.500 0.000 0.500
Ru1 0.000 0.500 0.500
Ru2 0.500 0.500 0.000
# Spin magnetization: 3.8 μB per cell
# Density of states at the Fermi level: 1.185 states/eV per atom
# Energy relative to the lowest polymorph listed for this composition: 0.5195 eV per atom
# Formation enthalpy at 0 K: 0.829 eV/atom